[1]
5
Lattice="4.660 0.000 0.000 0.000 5.414 0.000 0.000 0.000 4.660" Properties=species:S:1:pos:R:3 comment="MgAlNi2Te (PBE, optimized geometry)" density_g_cm3=4.2 n_ef_per_ev_atom=0.583 raw_formation_energy_ev_per_fu=3.3 pbc="T T T"
Te 0.000 0.000 0.000
Ni 2.330 0.000 0.000
Al 0.000 2.707 0.000
Mg 2.330 2.707 2.330
Ni 0.000 0.000 2.330


[2]
10
Lattice="5.551 0.000 0.000 2.775 8.577 0.876 2.775 2.253 8.273" Properties=species:S:1:pos:R:3 comment="BaTlBiSb2 (PBE, optimized geometry)" density_g_cm3=6.9 n_ef_per_ev_atom=0.197 raw_formation_energy_ev_per_fu=-1.8 pbc="T T T"
Sb 5.551 8.078 4.512
Bi 8.326 8.590 3.079
Sb 2.775 6.395 0.907
Tl 5.551 5.222 6.552
Ba 2.775 2.888 2.168
Ba 8.326 7.941 6.982
Sb 5.551 2.751 4.637
Bi 2.775 2.239 6.070
Tl 5.551 5.607 2.597
Sb 8.326 4.434 8.242


[3]
4
Lattice="-1.731 -0.692 2.107 -0.008 -2.617 1.032 4.555 0.764 5.932" Properties=species:S:1:pos:R:3 comment="ZnBOs2 (PBE, optimized geometry)" density_g_cm3=15.2 e_above_lowest_polymorph_kcal_per_mol_atoms=0.00 n_ef_per_ev_atom=0.506 pbc="T T T"
Os 0.447 -0.739 2.041
B -1.157 -2.206 2.096
Os 3.527 0.402 4.933
Zn 1.407 -1.273 4.534


[4]
8
Lattice="-0.358 3.886 3.084 -4.955 -0.433 -0.031 -2.367 -1.922 6.159" Properties=species:S:1:pos:R:3 comment="MgGe2H (PBE, optimized geometry)" density_g_cm3=3.9 e_above_lowest_polymorph_kcal_per_mol_atoms=0.00 n_ef_per_ev_atom=0.418 pbc="T T T"
H -2.657 1.727 1.527
Ge -4.531 -0.213 5.759
Ge -3.789 0.333 2.381
Mg -2.691 1.846 5.385
Ge -5.662 1.647 7.295
H -4.989 -0.314 3.827
Ge -1.380 1.296 2.988
Mg 0.000 0.000 0.000


Copy entry 3 word for word.
4
Lattice="-1.731 -0.692 2.107 -0.008 -2.617 1.032 4.555 0.764 5.932" Properties=species:S:1:pos:R:3 comment="ZnBOs2 (PBE, optimized geometry)" density_g_cm3=15.2 e_above_lowest_polymorph_kcal_per_mol_atoms=0.00 n_ef_per_ev_atom=0.506 pbc="T T T"
Os 0.447 -0.739 2.041
B -1.157 -2.206 2.096
Os 3.527 0.402 4.933
Zn 1.407 -1.273 4.534